1.
The following is a PBE calculation of an optimized crystal structure of Os3RhO, from Alexandria.

Output
Raw formation energy in kJ/mol of formula units: 400.5
Space-group type: Pm-3m
Total DFT energy (no corrections) in eV per atom: -8.370

abc: 4.0621 4.0621 4.0621
angles: 90.00 90.00 90.00
Last column: nearest neighbours and their distance in Å.
Atoms (fractional coordinates):
Os 0.0000 0.0000 0.5000  2 O 2.03
Os 0.0000 0.5000 0.0000  2 O 2.03
Os 0.5000 0.0000 0.0000  2 O 2.03
Rh 0.5000 0.5000 0.5000  12 Os 2.87
O 0.0000 0.0000 0.0000  6 Os 2.03



2.
The following is a PBE calculation of an optimized crystal structure of MgIn2W, from Alexandria.

Output
Space-group type: F-43m
ΔE_f in eV/atom: 0.7834
Total DFT energy (no corrections) in eV per atom: -4.223

abc: 4.8656 4.8656 4.8656
angles: 60.00 60.00 60.00
Last column: nearest neighbours and their distance in Å.
Atoms (fractional coordinates):
Mg 0.0000 0.0000 0.0000  4 W 2.98, 4 In 2.98
In 0.2500 0.2500 0.2500  4 In 2.98, 4 Mg 2.98
In 0.5000 0.5000 0.5000  4 W 2.98, 4 In 2.98
W 0.7500 0.7500 0.7500  4 In 2.98, 4 Mg 2.98



| no. | Fermi-level density of states (states/eV per atom) |
| --- | --- |
| 1 | 0.826 |
| 2 | 0.833 |